1.
The following is a GGA-PBE calculation of an optimized crystal structure of NaGdAgTe3, from OQMD via LeMat-Bulk.

Crystal system ... orthorhombic
Size of the total moment ... 0.1 Bohr magnetons per cell
VASP energy ... -23.2 eV per formula unit
Density ... 6.205 g/cm³

a = 4.210 Å, b = 15.148 Å, c = 11.261 Å
α = 90.00°, β = 90.00°, γ = 90.00°
Space group Cmcm (No. 63)
Symmetry-distinct sites (fractional):
Na 0.000 0.232 0.250 (multiplicity 4)
Gd 0.000 0.000 0.000 (multiplicity 4)
Ag 0.000 0.470 0.750 (multiplicity 4)
Te 0.000 0.094 0.750 (multiplicity 4)
Te 0.000 0.356 0.557 (multiplicity 8)

=====

2.
The following is a GGA-PBE calculation of an optimized crystal structure of NaGdAgTe3, from OQMD via LeMat-Bulk.

Crystal system ... orthorhombic
Size of the total moment ... 0.0 Bohr magnetons per cell
VASP energy ... -23.2 eV per formula unit
Density ... 6.178 g/cm³

a = 11.397 Å, b = 4.238 Å, c = 14.934 Å
α = 90.00°, β = 90.00°, γ = 90.00°
Space group Pnma (No. 62)
Symmetry-distinct sites (fractional):
Na 0.228 0.250 0.018 (multiplicity 4)
Gd 0.018 0.750 0.746 (multiplicity 4)
Ag 0.236 0.750 0.219 (multiplicity 4)
Te 0.039 0.750 0.109 (multiplicity 4)
Te 0.074 0.250 0.602 (multiplicity 4)
Te 0.233 0.250 0.343 (multiplicity 4)

=====

3.
The following is a GGA-PBE calculation of an optimized crystal structure of NdGdAg2, from OQMD via LeMat-Bulk.

Crystal system ... orthorhombic
Size of the total moment ... 0.0 Bohr magnetons per cell
Density ... 8.318 g/cm³
Formation energy from the elements ... -25.83 kJ/mol of atoms

a = 4.828 Å, b = 3.823 Å, c = 11.190 Å
α = 90.00°, β = 90.00°, γ = 90.00°
Space group Amm2 (No. 38)
Symmetry-distinct sites (fractional):
Nd 0.000 0.000 0.000 (multiplicity 2)
Gd 0.500 0.000 0.713 (multiplicity 2)
Ag 0.000 0.000 0.277 (multiplicity 2)
Ag 0.500 0.000 0.432 (multiplicity 2)

=====

4.
The following is a GGA-PBE calculation of an optimized crystal structure of NdGdAg2, from OQMD via LeMat-Bulk.

Crystal system ... tetragonal
Size of the total moment ... 0.1 Bohr magnetons per cell
Density ... 8.494 g/cm³
Formation energy from the elements ... -28.40 kJ/mol of atoms

a = 3.694 Å, b = 3.694 Å, c = 7.409 Å
α = 90.00°, β = 90.00°, γ = 90.00°
Space group P4/mmm (No. 123)
Symmetry-distinct sites (fractional):
Nd 0.000 0.000 0.000 (multiplicity 1)
Gd 0.000 0.000 0.500 (multiplicity 1)
Ag 0.500 0.500 0.262 (multiplicity 2)

=====

5.
The following is a GGA-PBE calculation of an optimized crystal structure of NdGdAg6, from OQMD via LeMat-Bulk.

Crystal system ... orthorhombic
Size of the total moment ... 0.0 Bohr magnetons per cell
Density ... 9.400 g/cm³
Formation energy from the elements ... -23.62 kJ/mol of atoms

a = 5.080 Å, b = 6.316 Å, c = 5.224 Å
α = 90.00°, β = 90.00°, γ = 90.00°
Space group Pmm2 (No. 25)
Symmetry-distinct sites (fractional):
Nd 0.000 0.000 0.000 (multiplicity 1)
Gd 0.500 0.500 0.311 (multiplicity 1)
Ag 0.000 0.264 0.495 (multiplicity 2)
Ag 0.000 0.500 0.974 (multiplicity 1)
Ag 0.500 0.000 0.350 (multiplicity 1)
Ag 0.500 0.249 0.816 (multiplicity 2)

=====

6.
The following is a GGA-PBE calculation of an optimized crystal structure of NdGdAg4, from OQMD via LeMat-Bulk.

Crystal system ... tetragonal
Size of the total moment ... 0.0 Bohr magnetons per cell
Density ... 9.120 g/cm³
Formation energy from the elements ... -27.52 kJ/mol of atoms

a = 3.769 Å, b = 3.769 Å, c = 9.392 Å
α = 90.00°, β = 90.00°, γ = 90.00°
Space group P4/mmm (No. 123)
Symmetry-distinct sites (fractional):
Nd 0.000 0.000 0.000 (multiplicity 1)
Gd 0.500 0.500 0.500 (multiplicity 1)
Ag 0.000 0.000 0.333 (multiplicity 2)
Ag 0.500 0.500 0.177 (multiplicity 2)

=====

7.
The following is a GGA-PBE calculation of an optimized crystal structure of NdGdAg2, from OQMD via LeMat-Bulk.

Crystal system ... orthorhombic
Size of the total moment ... 0.0 Bohr magnetons per cell
Density ... 8.314 g/cm³
Formation energy from the elements ... -26.64 kJ/mol of atoms

a = 4.840 Å, b = 5.794 Å, c = 7.369 Å
α = 90.00°, β = 90.00°, γ = 90.00°
Space group Pmc2_1 (No. 26)
Symmetry-distinct sites (fractional):
Nd 0.000 0.105 0.000 (multiplicity 2)
Gd 0.500 0.395 0.636 (multiplicity 2)
Ag 0.000 0.398 0.355 (multiplicity 2)
Ag 0.500 0.111 0.282 (multiplicity 2)

=====

8.
The following is a GGA-PBE calculation of an optimized crystal structure of Nd2GdAg4Pb4, from OQMD via LeMat-Bulk.

Crystal system ... orthorhombic
Size of the total moment ... 0.0 Bohr magnetons per cell
VASP energy ... -44.0 eV per formula unit
Density ... 10.060 g/cm³

a = 4.764 Å, b = 7.463 Å, c = 15.841 Å
α = 90.00°, β = 90.00°, γ = 90.00°
Space group Immm (No. 71)
Symmetry-distinct sites (fractional):
Nd 0.000 0.000 0.129 (multiplicity 4)
Gd 0.000 0.500 0.000 (multiplicity 2)
Ag 0.000 0.197 0.329 (multiplicity 8)
Pb 0.000 0.296 0.500 (multiplicity 4)
Pb 0.000 0.500 0.213 (multiplicity 4)

=====

9.
The following is a GGA-PBE calculation of an optimized crystal structure of NdGdSi4Ag2, from OQMD via LeMat-Bulk.

Crystal system ... orthorhombic
Size of the total moment ... 0.0 Bohr magnetons per cell
VASP energy ... -40.8 eV per formula unit
Density ... 6.791 g/cm³

a = 4.201 Å, b = 4.167 Å, c = 17.589 Å
α = 90.00°, β = 90.00°, γ = 90.00°
Space group Amm2 (No. 38)
Symmetry-distinct sites (fractional):
Nd 0.000 0.000 0.000 (multiplicity 2)
Gd 0.500 0.000 0.192 (multiplicity 2)
Si 0.000 0.000 0.629 (multiplicity 2)
Si 0.000 0.000 0.759 (multiplicity 2)
Si 0.500 0.000 0.433 (multiplicity 2)
Si 0.500 0.000 0.565 (multiplicity 2)
Ag 0.000 0.000 0.344 (multiplicity 2)
Ag 0.500 0.000 0.846 (multiplicity 2)

=====

10.
The following is a GGA-PBE calculation of an optimized crystal structure of NdGd2Si4Ag4, from OQMD via LeMat-Bulk.

Crystal system ... orthorhombic
Size of the total moment ... 0.0 Bohr magnetons per cell
VASP energy ... -52.8 eV per formula unit
Density ... 7.623 g/cm³

a = 4.302 Å, b = 7.073 Å, c = 14.355 Å
α = 90.00°, β = 90.00°, γ = 90.00°
Space group Immm (No. 71)
Symmetry-distinct sites (fractional):
Nd 0.000 0.000 0.000 (multiplicity 2)
Gd 0.000 0.500 0.126 (multiplicity 4)
Si 0.000 0.000 0.218 (multiplicity 4)
Si 0.000 0.172 0.500 (multiplicity 4)
Ag 0.000 0.302 0.331 (multiplicity 8)

=====

11.
The following is a GGA-PBE calculation of an optimized crystal structure of GdSi2NiAg, from OQMD via LeMat-Bulk.

Crystal system ... tetragonal
Size of the total moment ... 0.0 Bohr magnetons per cell
VASP energy ... -26.7 eV per formula unit
Density ... 7.454 g/cm³

a = 4.085 Å, b = 4.085 Å, c = 10.147 Å
α = 90.00°, β = 90.00°, γ = 90.00°
Space group I-4m2 (No. 119)
Symmetry-distinct sites (fractional):
Gd 0.000 0.000 0.000 (multiplicity 2)
Si 0.000 0.000 0.385 (multiplicity 4)
Ni 0.000 0.500 0.250 (multiplicity 2)
Ag 0.000 0.500 0.750 (multiplicity 2)

=====

12.
The following is a GGA-PBE calculation of an optimized crystal structure of Gd2Si4NiAg, from OQMD via LeMat-Bulk.

Crystal system ... orthorhombic
Size of the total moment ... 0.0 Bohr magnetons per cell
VASP energy ... -44.3 eV per formula unit
Density ... 6.900 g/cm³

a = 4.010 Å, b = 4.052 Å, c = 17.581 Å
α = 90.00°, β = 90.00°, γ = 90.00°
Space group Amm2 (No. 38)
Symmetry-distinct sites (fractional):
Gd 0.000 0.000 0.000 (multiplicity 2)
Gd 0.500 0.000 0.194 (multiplicity 2)
Si 0.000 0.000 0.361 (multiplicity 2)
Si 0.000 0.000 0.630 (multiplicity 2)
Si 0.500 0.000 0.557 (multiplicity 2)
Si 0.500 0.000 0.863 (multiplicity 2)
Ni 0.500 0.000 0.427 (multiplicity 2)
Ag 0.000 0.000 0.769 (multiplicity 2)

=====

- What is the density in the third record?
  8.318 g/cm³

=====

- Which value of density does entry 8 give?
  10.060 g/cm³

=====

- size of the total moment of number 9 (NdGdSi4Ag2)?
  0.0 Bohr magnetons per cell

=====

- Which value of size of the total moment does entry 12 give?
  0.0 Bohr magnetons per cell